Entry from Alexandria: an optimized crystal structure of Cd2FeCo (PBE).

POSCAR file:
```
Cd2FeCo
1.0
-2.032 2.032 3.834
2.032 -2.032 3.834
2.032 2.032 -3.834
Cd Fe Co
2 1 1
Direct
0.000 0.000 0.000 Cd
0.750 0.250 0.500 Cd
0.500 0.500 0.000 Fe
0.250 0.750 0.500 Co
```

Its calculated volume is 63 Å³/f.u. As for the formation energy: 369.4 meV per atom. The density of states at the Fermi level is 4.11 states/eV/f.u.